# 1
The following is a PBE calculation of Pu2Ge2Pt3 after structural relaxation, from Alexandria via LeMat-Bulk.

Properties
N(E_F) ... 47.416 states/eV per cell
Excess energy over the best structure of this formula in the dataset ... 0 kJ/mol of formula units
Formation energy from the elements ... -0.723 eV per atom

Cell lengths 4.075, 7.067, 10.011 Å; angles 90.00, 101.74, 90.00 degrees
Site moments in Bohr magnetons follow the coordinates.
Sites, in units of the cell vectors:
Ge 0.690 0.954 0.379  -0.01
Ge 0.690 0.546 0.379  -0.01
Ge 0.310 0.454 0.621  -0.01
Pu 0.152 0.250 0.305  5.17
Pu 0.053 0.750 0.106  5.20
Pt 0.436 0.948 0.871  -0.09
Pu 0.848 0.750 0.695  5.17
Pt 0.218 0.750 0.437  0.00
Pt 0.564 0.052 0.129  -0.09
Pt 0.564 0.448 0.129  -0.09
Ge 0.310 0.046 0.621  -0.01
Pu 0.947 0.250 0.894  5.20
Pt 0.782 0.250 0.563  0.00
Pt 0.436 0.552 0.871  -0.09

# 2
The following is a PBE calculation of ZrCuCl2 after structural relaxation, from Alexandria via LeMat-Bulk.

Properties
N(E_F) ... 1.693 states/eV per cell
Excess energy over the best structure of this formula in the dataset ... 167 kJ/mol of formula units

Cell lengths 3.378, 3.377, 6.165 Å; angles 90.00, 90.00, 90.00 degrees
Sites, in units of the cell vectors:
Cl 0.000 0.000 0.517
Cl 0.000 0.000 0.983
Zr 0.500 0.500 0.750
Cu 0.500 0.500 0.250

# 3
The following is a PBE calculation of KY2Ti after structural relaxation, from Alexandria via LeMat-Bulk.

Properties
N(E_F) ... 11.621 states/eV per cell
Excess energy over the best structure of this formula in the dataset ... 85 kJ/mol of formula units
Formation energy from the elements ... 0.967 eV per atom

Cell lengths 8.676, 8.676, 7.031 Å; angles 51.90, 51.90, 90.00 degrees
Site moments in Bohr magnetons follow the coordinates.
Sites, in units of the cell vectors:
Ti 0.750 0.250 0.500  1.56
Y 0.646 0.125 0.250  0.26
K 0.500 0.500 0.000  0.02
Y 0.104 0.625 0.250  0.27
Y 0.375 0.354 0.750  0.26
K 0.250 0.750 0.500  0.02
Ti 0.000 0.000 0.000  1.55
Y 0.875 0.896 0.750  0.26